A plane-wave DFT calculation with PBE was carried out for a geometry-optimized ErCrTe2 structure.

The space group is R-3m (No. 166, hexagonal axes) and the conventional cell measures 3.9358, 3.9358 and 27.1888 Å, with angles of 90.00, 90.00 and 120.00 degrees. The distinct sites, in fractional coordinates, are Er at (0.0000, 0.0000, 0.0000), Cr at (0.0000, 0.0000, 0.5000) and Te at (0.0000, 0.0000, 0.1107).

The total energy comes out at -5.32 eV per atom. For the uncorrected formation energy, the calculation gives -0.21 eV per atom.

A plane-wave DFT calculation with PBE was carried out for a geometry-optimized Er2Tl3CrTe6 structure.

The space group is C2/m (No. 12) and the conventional cell measures 7.4836, 12.9552 and 8.4845 Å, with angles of 90.00, 107.08 and 90.00 degrees. The distinct sites, in fractional coordinates, are Er at (0.0000, 0.1650, 0.0000), Tl at (0.0000, 0.0000, 0.5000), Tl at (0.0000, 0.3226, 0.5000), Cr at (0.0000, 0.5000, 0.0000), Te at (0.2204, 0.3452, 0.1999) and Te at (0.2401, 0.5000, 0.7903).

The total energy comes out at -4.46 eV per atom. For the uncorrected formation energy, the calculation gives -0.74 eV per atom.